This record from Alexandria describes a geometry-optimized VAsCF2 structure. The functional is PBE with a Hubbard U.

Values from the calculation:
Total magnetic moment, μB/f.u.: 2.2
Calculated total energy, eV/atom: -4.723
Density, Mg/m³: 4.4
Fermi-level density of states, states/eV/cell: 1.242

Cell: 3.821 4.503 3.821 Å, 90.00 90.00 90.00°
Atoms (fractional coordinates):
C1 0.000 0.000 0.000
F1 0.000 0.000 0.500
F2 0.500 0.000 0.000
V1 0.500 0.500 0.500
As1 0.000 0.500 0.000